[1]
Compound: Tb2PmDyBi4
Source: Alexandria
Functional: GGA-PBE
Structure: relaxed

Properties
N(E_F) (states/eV/cell): 1.234
Energy of formation from the pure elements (eV/atom): -0.89

Unit cell a=7.8116 b=4.5131 c=7.8120 alpha=90.00 beta=109.47 gamma=90.00
Element x y z (fractional)
1 Tb 0.0000 0.0000 0.0000
2 Tb 0.5000 0.5000 0.0000
3 Pm 0.0000 0.5000 0.5000
4 Dy 0.5000 0.0000 0.5000
5 Bi 0.2527 0.5000 0.2488
6 Bi 0.2543 0.0000 0.7534
7 Bi 0.7457 0.0000 0.2466
8 Bi 0.7473 0.5000 0.7512


[2]
Compound: Tb2Pm3DyBi6
Source: Alexandria
Functional: GGA-PBE
Structure: relaxed

Properties
N(E_F) (states/eV/cell): 2.018
Energy of formation from the pure elements (eV/atom): -0.91

Unit cell a=10.1316 b=10.1316 c=9.0638 alpha=102.83 beta=102.83 gamma=25.86
Element x y z (fractional)
1 Tb 0.1666 0.1666 0.3331
2 Tb 0.8334 0.8334 0.6669
3 Pm 0.1668 0.1668 0.8332
4 Pm 0.5000 0.5000 0.5000
5 Pm 0.8332 0.8332 0.1668
6 Dy 0.5000 0.5000 0.0000
7 Bi 0.0012 0.0012 0.2460
8 Bi 0.3320 0.3320 0.4201
9 Bi 0.3350 0.3350 0.9138
10 Bi 0.6650 0.6650 0.0862
11 Bi 0.6680 0.6680 0.5799
12 Bi 0.9988 0.9988 0.7540


[3]
Compound: TbPm2DyBi5
Source: Alexandria
Functional: GGA-PBE
Structure: relaxed

Properties
N(E_F) (states/eV/cell): 5.767
Energy of formation from the pure elements (eV/atom): -0.08

Unit cell a=5.4445 b=5.4445 c=11.9132 alpha=90.00 beta=90.00 gamma=90.00
Element x y z (fractional)
1 Tb 0.0000 0.0000 0.0000
2 Pm 0.5000 0.5000 0.2260
3 Pm 0.5000 0.5000 0.7740
4 Dy 0.0000 0.0000 0.5000
5 Bi 0.0000 0.0000 0.2545
6 Bi 0.0000 0.0000 0.7455
7 Bi 0.0000 0.5000 0.0000
8 Bi 0.5000 0.0000 0.0000
9 Bi 0.5000 0.5000 0.5000


[4]
Compound: TbPm2DyBi4
Source: Alexandria
Functional: GGA-PBE
Structure: relaxed

Properties
N(E_F) (states/eV/cell): 1.232
Energy of formation from the pure elements (eV/atom): -0.90

Unit cell a=7.8460 b=4.5351 c=7.8505 alpha=90.00 beta=109.48 gamma=90.00
Element x y z (fractional)
1 Tb 0.0000 0.0000 0.0000
2 Pm 0.5000 0.0000 0.5000
3 Pm 0.5000 0.5000 0.0000
4 Dy 0.0000 0.5000 0.5000
5 Bi 0.2435 0.0000 0.7473
6 Bi 0.2438 0.5000 0.2485
7 Bi 0.7562 0.5000 0.7515
8 Bi 0.7565 0.0000 0.2527


[5]
Compound: Pm3DyTh2Bi6
Source: Alexandria
Functional: GGA-PBE
Structure: relaxed

Properties
N(E_F) (states/eV/cell): 5.080
Energy of formation from the pure elements (eV/atom): -0.81

Unit cell a=10.2216 b=10.2216 c=9.1340 alpha=103.01 beta=103.01 gamma=25.87
Element x y z (fractional)
1 Pm 0.0000 0.0000 0.0000
2 Pm 0.3327 0.3327 0.6657
3 Pm 0.6673 0.6673 0.3343
4 Dy 0.0000 0.0000 0.5000
5 Th 0.3353 0.3353 0.1691
6 Th 0.6647 0.6647 0.8309
7 Bi 0.1645 0.1645 0.5808
8 Bi 0.1669 0.1669 0.0842
9 Bi 0.4988 0.4988 0.7446
10 Bi 0.5012 0.5012 0.2554
11 Bi 0.8331 0.8331 0.9158
12 Bi 0.8355 0.8355 0.4192


[6]
Compound: PmDyTh2Bi5
Source: Alexandria
Functional: GGA-PBE
Structure: relaxed

Properties
N(E_F) (states/eV/cell): 4.992
Energy of formation from the pure elements (eV/atom): 0.02

Unit cell a=5.4122 b=5.4122 c=11.8576 alpha=90.00 beta=90.00 gamma=90.00
Element x y z (fractional)
1 Pm 0.0000 0.0000 0.0000
2 Dy 0.0000 0.0000 0.5000
3 Th 0.5000 0.5000 0.2988
4 Th 0.5000 0.5000 0.7012
5 Bi 0.0000 0.0000 0.2499
6 Bi 0.0000 0.0000 0.7501
7 Bi 0.0000 0.5000 0.5000
8 Bi 0.5000 0.0000 0.5000
9 Bi 0.5000 0.5000 0.0000


[7]
Compound: PmDy3Th2Bi6
Source: Alexandria
Functional: GGA-PBE
Structure: relaxed

Properties
N(E_F) (states/eV/cell): 4.959
Energy of formation from the pure elements (eV/atom): -0.78

Unit cell a=10.1288 b=10.1288 c=9.0524 alpha=102.71 beta=102.71 gamma=25.92
Element x y z (fractional)
1 Pm 0.0000 0.0000 0.0000
2 Dy 0.0000 0.0000 0.5000
3 Dy 0.3339 0.3339 0.1662
4 Dy 0.6661 0.6661 0.8338
5 Th 0.3348 0.3348 0.6689
6 Th 0.6652 0.6652 0.3311
7 Bi 0.1652 0.1652 0.5882
8 Bi 0.1683 0.1683 0.0779
9 Bi 0.4978 0.4978 0.2540
10 Bi 0.5022 0.5022 0.7460
11 Bi 0.8317 0.8317 0.9221
12 Bi 0.8348 0.8348 0.4118


[8]
Compound: PmDyTh2Bi4
Source: Alexandria
Functional: GGA-PBE
Structure: relaxed

Properties
N(E_F) (states/eV/cell): 4.730
Energy of formation from the pure elements (eV/atom): -0.73

Unit cell a=7.8779 b=4.5743 c=7.9181 alpha=90.00 beta=109.65 gamma=90.00
Element x y z (fractional)
1 Pm 0.0000 0.0000 0.0000
2 Dy 0.0000 0.5000 0.5000
3 Th 0.5000 0.0000 0.5000
4 Th 0.5000 0.5000 0.0000
5 Bi 0.2432 0.0000 0.7447
6 Bi 0.2455 0.5000 0.2515
7 Bi 0.7545 0.5000 0.7485
8 Bi 0.7568 0.0000 0.2553


[9]
Compound: PmDy2Th3Bi6
Source: Alexandria
Functional: GGA-PBE
Structure: relaxed

Properties
N(E_F) (states/eV/cell): 6.642
Energy of formation from the pure elements (eV/atom): -0.73

Unit cell a=10.1835 b=10.1835 c=9.0873 alpha=102.73 beta=102.73 gamma=25.88
Element x y z (fractional)
1 Pm 0.0000 0.0000 0.0000
2 Dy 0.3333 0.3333 0.6669
3 Dy 0.6667 0.6667 0.3331
4 Th 0.0000 0.0000 0.5000
5 Th 0.3349 0.3349 0.1671
6 Th 0.6651 0.6651 0.8329
7 Bi 0.1671 0.1671 0.0898
8 Bi 0.1689 0.1689 0.5783
9 Bi 0.4971 0.4971 0.7501
10 Bi 0.5029 0.5029 0.2499
11 Bi 0.8311 0.8311 0.4217
12 Bi 0.8329 0.8329 0.9102


[10]
Compound: Pm2DyThBi5
Source: Alexandria
Functional: GGA-PBE
Structure: relaxed

Properties
N(E_F) (states/eV/cell): 7.299
Energy of formation from the pure elements (eV/atom): 0.09

Unit cell a=5.7391 b=5.7391 c=11.9191 alpha=90.00 beta=90.00 gamma=90.00
Element x y z (fractional)
1 Pm 0.0000 0.0000 0.2238
2 Pm 0.0000 0.0000 0.7762
3 Dy 0.5000 0.5000 0.5000
4 Th 0.5000 0.5000 0.0000
5 Bi 0.0000 0.0000 0.5000
6 Bi 0.0000 0.5000 0.0000
7 Bi 0.5000 0.0000 0.0000
8 Bi 0.5000 0.5000 0.2578
9 Bi 0.5000 0.5000 0.7422